VASP calculation (PBE-GGA) on a relaxed FeOsSe crystal.

Results
space-group type = P3m1 (156)
energy above the lowest structure with this stoichiometry = 0 meV/atom
calculated total energy = -7.27 eV/atom
magnetic moment = 1.8 μB/f.u.

Unit cell a=2.878 b=2.878 c=5.952 alpha=90.00 beta=90.00 gamma=120.00
Atoms (fractional coordinates):
Fe1 0.000 0.000 0.000
Os1 0.667 0.333 0.327
Se1 0.333 0.667 0.684

***

VASP calculation (PBE-GGA) on a relaxed FeOsSe4 crystal.

Results
space-group type = F-43m (216)
calculated total energy = -4.08 eV/atom
magnetic moment = 6.0 μB/f.u.

Unit cell a=5.494 b=5.494 c=5.494 alpha=60.00 beta=60.00 gamma=60.00
Atoms (fractional coordinates):
Fe1 0.000 0.000 0.000
Os1 0.750 0.750 0.750
Se1 0.376 0.376 0.376
Se2 0.376 0.376 0.873
Se3 0.376 0.873 0.376
Se4 0.873 0.376 0.376